# 1
Material: Sc3CoSi2
Method: DFT, PBE
State: relaxed

Cell lengths 10.7162, 3.9716, 10.0949 Å; angles 90.00, 90.00, 90.00 degrees
With the nearest neighbours (Å) after each atom.
Positions (direct):
1 Sc 0.0540 0.2500 0.1270  1 Co 2.57, 4 Si 2.79
2 Sc 0.1257 0.7500 0.5637  5 Si 2.75-2.85, 3 Co 2.78-2.79
3 Sc 0.2236 0.2500 0.8008  2 Co 2.65, 4 Si 2.79-2.85
4 Sc 0.2764 0.7500 0.3008  2 Co 2.65, 4 Si 2.79-2.85
5 Sc 0.3743 0.2500 0.0637  5 Si 2.75-2.85, 3 Co 2.78-2.79
6 Sc 0.4460 0.7500 0.6270  1 Co 2.57, 4 Si 2.79
7 Sc 0.5540 0.2500 0.3730  1 Co 2.57, 4 Si 2.79
8 Sc 0.6257 0.7500 0.9363  5 Si 2.75-2.85, 3 Co 2.78-2.79
9 Sc 0.7236 0.2500 0.6992  2 Co 2.65, 4 Si 2.79-2.85
10 Sc 0.7764 0.7500 0.1992  2 Co 2.65, 4 Si 2.79-2.85
11 Sc 0.8743 0.2500 0.4363  5 Si 2.75-2.85, 3 Co 2.78-2.79
12 Sc 0.9460 0.7500 0.8730  1 Co 2.57, 4 Si 2.79
13 Co 0.1260 0.2500 0.3694  3 Si 2.35-2.37, 1 Sc 2.57
14 Co 0.3740 0.7500 0.8694  3 Si 2.35-2.37, 1 Sc 2.57
15 Co 0.6260 0.2500 0.1306  3 Si 2.35-2.37, 1 Sc 2.57
16 Co 0.8740 0.7500 0.6306  3 Si 2.35-2.37, 1 Sc 2.57
17 Si 0.0162 0.7500 0.3177  2 Co 2.37
18 Si 0.1926 0.7500 0.0001  1 Co 2.35
19 Si 0.3074 0.2500 0.5001  1 Co 2.35
20 Si 0.4838 0.2500 0.8177  2 Co 2.37
21 Si 0.5162 0.7500 0.1823  2 Co 2.37
22 Si 0.6926 0.7500 0.4999  1 Co 2.35
23 Si 0.8074 0.2500 0.9999  1 Co 2.35
24 Si 0.9838 0.2500 0.6823  2 Co 2.37

- D(E_F): 18.15 states/eV/cell
- SG: Pnma, No. 62
- Calculated total energy: -6.877 eV/atom

---

# 2
Material: Li2Ac3Pr2Pb4
Method: DFT, PBE
State: relaxed

Cell lengths 5.0464, 5.0464, 17.1518 Å; angles 90.00, 90.00, 120.00 degrees
With the nearest neighbours (Å) after each atom.
Positions (direct):
1 Li 0.3333 0.6667 0.1163  3 Pb 2.91
2 Li 0.6667 0.3333 0.8837  3 Pb 2.91
3 Ac 0.0000 0.0000 0.0000  6 Li 3.53, 6 Pb 3.58
4 Ac 0.0000 0.0000 0.2439  6 Pb 3.50-3.60, 3 Li 3.64
5 Ac 0.0000 0.0000 0.7561  6 Pb 3.50-3.60, 3 Li 3.64
6 Pr 0.3333 0.6667 0.5691  3 Pb 3.18
7 Pr 0.6667 0.3333 0.4309  3 Pb 3.18
8 Pb 0.3333 0.6667 0.3570  3 Pr 3.18, 3 Ac 3.50
9 Pb 0.3333 0.6667 0.8789  3 Li 2.91
10 Pb 0.6667 0.3333 0.1211  3 Li 2.91
11 Pb 0.6667 0.3333 0.6430  3 Pr 3.18, 3 Ac 3.50

- D(E_F): 5.98 states/eV/cell
- SG: P-3m1, No. 164
- Calculated total energy: -4.127 eV/atom

---

calculated total energy of number 2 (Li2Ac3Pr2Pb4)?
-4.127 eV/atom

---

Which value of D(E_F) does entry 2 give?
5.98 states/eV/cell